Entry 1:
First-principles (PBE) data for Ca12Au3N5 after structural relaxation, as listed in the Alexandria database.

Lattice parameters (Å, degrees): 15.721 15.721 15.721 90.00 90.00 90.00
Space group Ia-3d (No. 230)
One atom of each set of equivalent atoms:
Ca (0.034, 0.048, 0.648) (multiplicity 96)
Au (0.000, 0.250, 0.125) (multiplicity 24)
N (0.000, 0.000, 0.000) (multiplicity 16)
N (0.000, 0.250, 0.375) (multiplicity 24)

---

Entry 2:
First-principles (PBE) data for CaAu3N after structural relaxation, as listed in the Alexandria database.

Lattice parameters (Å, degrees): 4.578 4.578 4.578 90.00 90.00 90.00
Space group Pm-3m (No. 221)
One atom of each set of equivalent atoms:
Ca (0.000, 0.000, 0.000) (multiplicity 1)
Au (0.000, 0.500, 0.500) (multiplicity 3)
N (0.500, 0.500, 0.500) (multiplicity 1)

Distance to the lowest polymorph of the same formula: 0.00 eV per formula unit

---

Entry 3:
First-principles (PBE) data for NaCa2AuN after structural relaxation, as listed in the Alexandria database.

Lattice parameters (Å, degrees): 4.807 4.807 4.770 90.00 90.00 90.00
Space group P4/mmm (No. 123)
One atom of each set of equivalent atoms:
Na (0.000, 0.000, 0.000) (multiplicity 1)
Ca (0.000, 0.500, 0.500) (multiplicity 2)
Au (0.500, 0.500, 0.000) (multiplicity 1)
N (0.000, 0.000, 0.500) (multiplicity 1)

---

| no. | formation energy without anion corrections (eV per atom) |
| --- | --- |
| 1 | -0.663 |
| 2 | 0.245 |
| 3 | -0.528 |